LaScGa2Ni5: relaxed, PBE.

Summary:
**Fermi-level density of states**: 6.9 states/eV/cell
**Mass density**: 7.3 Mg/m³
**SG**: No. 123
**Calculated formation energy**: -243 kJ/mol of formula units

```
9
Lattice="3.987 0.000 0.000 0.000 3.987 0.000 0.000 0.000 8.804" Properties=species:S:1:pos:R:3 pbc="T T T"
La 0.000 0.000 0.000
Sc 0.000 0.000 4.402
Ga 1.994 1.994 3.184
Ga 1.994 1.994 5.620
Ni 0.000 1.994 1.977
Ni 0.000 1.994 6.827
Ni 1.994 0.000 1.977
Ni 1.994 0.000 6.827
Ni 1.994 1.994 0.000
```